Material: Tm3Pt2Rh
Method: DFT, PBE
State: optimized geometry

D(E_F)	4.2	states/eV/cell
energy of formation	-1184	meV per atom
uncorrected energy	-79.9	eV for the cell shown
total magnetic moment	0.00	μB per formula unit
SG	Cmmm

a = 7.678 Å, b = 7.678 Å, c = 6.807 Å
α = 90.00°, β = 90.00°, γ = 143.13°
Fractional positions:
1 Tm 0.000 0.000 0.248
2 Tm 0.000 0.000 0.752
3 Tm 0.332 0.668 0.247
4 Tm 0.332 0.668 0.753
5 Tm 0.668 0.332 0.247
6 Tm 0.668 0.332 0.753
7 Pt 0.165 0.835 0.500
8 Pt 0.500 0.500 0.000
9 Pt 0.500 0.500 0.500
10 Pt 0.835 0.165 0.500
11 Rh 0.169 0.831 0.000
12 Rh 0.831 0.169 0.000

Material: SiAsPRh2C
Method: DFT, PBE
State: optimized geometry

D(E_F)	3.3	states/eV/cell
ΔE_f (raw)	0.06	eV/atom
uncorrected energy	-39.0	eV for the cell shown
total magnetic moment	0.00	μB per formula unit
SG	Pm

a = 5.124 Å, b = 3.066 Å, c = 6.069 Å
α = 90.00°, β = 107.76°, γ = 90.00°
Fractional positions:
1 Si 0.000 0.000 0.000
2 As 0.252 0.500 0.466
3 P 0.780 0.500 0.424
4 Rh 0.579 0.500 0.038
5 Rh 0.641 0.000 0.650
6 C 0.205 0.500 0.124

Material: LaNbZnC2
Method: DFT, PBE
State: optimized geometry

D(E_F)	3.3	states/eV/cell
energy of formation	631	meV per atom
uncorrected energy	-31.6	eV for the cell shown
total magnetic moment	0.00	μB per formula unit
SG	P4/mmm

a = 4.301 Å, b = 4.301 Å, c = 4.823 Å
α = 90.00°, β = 90.00°, γ = 90.00°
Fractional positions:
1 La 0.000 0.000 0.000
2 Nb 0.500 0.500 0.500
3 Zn 0.500 0.500 0.000
4 C 0.000 0.500 0.500
5 C 0.500 0.000 0.500

Material: BeIr2Ru
Method: DFT, PBE
State: optimized geometry

D(E_F)	21.3	states/eV/cell
energy of formation	-72	meV per atom
uncorrected energy	-93.0	eV for the cell shown
total magnetic moment	0.00	μB per formula unit
SG	R-3m

a = 2.730 Å, b = 2.730 Å, c = 24.384 Å
α = 90.00°, β = 90.00°, γ = 120.00°
Fractional positions:
1 Be 0.000 0.000 0.000
2 Be 0.333 0.667 0.667
3 Be 0.667 0.333 0.333
4 Ir 0.000 0.000 0.257
5 Ir 0.000 0.000 0.743
6 Ir 0.333 0.667 0.410
7 Ir 0.333 0.667 0.924
8 Ir 0.667 0.333 0.076
9 Ir 0.667 0.333 0.590
10 Ru 0.000 0.000 0.500
11 Ru 0.333 0.667 0.167
12 Ru 0.667 0.333 0.833

Material: BaCeSe2
Method: DFT, PBE
State: optimized geometry

D(E_F)	24.1	states/eV/cell
ΔE_f (raw)	-1.79	eV/atom
uncorrected energy	-66.0	eV for the cell shown
total magnetic moment	1.47	μB per formula unit
SG	R3m

a = 4.324 Å, b = 4.324 Å, c = 23.358 Å
α = 90.00°, β = 90.00°, γ = 120.00°
Fractional positions:
1 Ba 0.000 0.000 0.000
2 Ba 0.333 0.667 0.667
3 Ba 0.667 0.333 0.333
4 Ce 0.000 0.000 0.174
5 Ce 0.333 0.667 0.840
6 Ce 0.667 0.333 0.507
7 Se 0.000 0.000 0.578
8 Se 0.000 0.000 0.764
9 Se 0.333 0.667 0.245
10 Se 0.333 0.667 0.431
11 Se 0.667 0.333 0.098
12 Se 0.667 0.333 0.912

Material: SrAg3Pb
Method: DFT, PBE
State: optimized geometry

D(E_F)	2.7	states/eV/cell
energy of formation	799	meV per atom
uncorrected energy	-9.9	eV for the cell shown
total magnetic moment	0.00	μB per formula unit
SG	Pm-3m

a = 5.640 Å, b = 5.640 Å, c = 5.640 Å
α = 90.00°, β = 90.00°, γ = 90.00°
Fractional positions:
1 Sr 0.000 0.000 0.000
2 Ag 0.000 0.000 0.500
3 Ag 0.000 0.500 0.000
4 Ag 0.500 0.000 0.000
5 Pb 0.500 0.500 0.500

Material: Ce8SiOs3Br4
Method: DFT, PBE
State: optimized geometry

D(E_F)	43.4	states/eV/cell
ΔE_f (raw)	-0.78	eV/atom
uncorrected energy	-105.7	eV for the cell shown
total magnetic moment	6.75	μB per formula unit
SG	R-3m

a = 8.891 Å, b = 8.891 Å, c = 8.891 Å
α = 55.38°, β = 55.38°, γ = 55.38°
Fractional positions:
1 Ce 0.221 0.739 0.739
2 Ce 0.234 0.234 0.234
3 Ce 0.261 0.261 0.779
4 Ce 0.261 0.779 0.261
5 Ce 0.739 0.221 0.739
6 Ce 0.739 0.739 0.221
7 Ce 0.766 0.766 0.766
8 Ce 0.779 0.261 0.261
9 Si 0.500 0.500 0.500
10 Os 0.000 0.000 0.500
11 Os 0.000 0.500 0.000
12 Os 0.500 0.000 0.000
13 Br 0.000 0.000 0.000
14 Br 0.000 0.500 0.500
15 Br 0.500 0.000 0.500
16 Br 0.500 0.500 0.000

Material: NbGeP3
Method: DFT, PBE
State: optimized geometry

D(E_F)	6.2	states/eV/cell
energy of formation	1090	meV per atom
uncorrected energy	-25.5	eV for the cell shown
total magnetic moment	0.00	μB per formula unit
SG	Pm-3m

a = 4.574 Å, b = 4.574 Å, c = 4.574 Å
α = 90.00°, β = 90.00°, γ = 90.00°
Fractional positions:
1 Nb 0.000 0.000 0.000
2 Ge 0.500 0.500 0.500
3 P 0.000 0.500 0.500
4 P 0.500 0.000 0.500
5 P 0.500 0.500 0.000

Material: HfSiAsBr2
Method: DFT, PBE
State: optimized geometry

D(E_F)	2.9	states/eV/cell
ΔE_f (raw)	0.14	eV/atom
uncorrected energy	-22.7	eV for the cell shown
total magnetic moment	0.88	μB per formula unit
SG	P4/mmm

a = 5.159 Å, b = 5.159 Å, c = 5.368 Å
α = 90.00°, β = 90.00°, γ = 90.00°
Fractional positions:
1 Hf 0.000 0.000 0.000
2 Si 0.500 0.500 0.500
3 As 0.000 0.000 0.500
4 Br 0.000 0.500 0.000
5 Br 0.500 0.000 0.000

Material: La2Pr3Sm6Pu
Method: DFT, PBE
State: optimized geometry

D(E_F)	24.3	states/eV/cell
energy of formation	48	meV per atom
uncorrected energy	-66.3	eV for the cell shown
total magnetic moment	6.71	μB per formula unit
SG	C2/m

a = 6.335 Å, b = 6.335 Å, c = 12.038 Å
α = 95.06°, β = 95.06°, γ = 120.10°
Fractional positions:
1 La 0.167 0.833 0.000
2 La 0.833 0.167 0.000
3 Pr 0.000 0.000 0.500
4 Pr 0.334 0.666 0.500
5 Pr 0.666 0.334 0.500
6 Sm 0.090 0.418 0.753
7 Sm 0.254 0.254 0.247
8 Sm 0.418 0.090 0.753
9 Sm 0.582 0.910 0.247
10 Sm 0.746 0.746 0.753
11 Sm 0.910 0.582 0.247
12 Pu 0.500 0.500 0.000